This record from Alexandria via LeMat-Bulk describes a relaxed In2TeH crystal. The functional is PBE.

Values from the calculation:
V: 24.7 Å³/atom
electronic total energy: -10.8 eV/cell
total moment: 0.00 μB per formula unit

abc: 5.1918 5.1918 5.1918
angles: 60.00 60.00 60.00
Closest atoms and distances in Å follow each position.
Sites, in units of the cell vectors:
In 0.2500 0.2500 0.2500  4 H 3.18, 4 Te 3.18
H 0.0000 0.0000 0.0000  8 In 3.18
In 0.7500 0.7500 0.7500  4 Te 3.18, 4 H 3.18
Te 0.5000 0.5000 0.5000  8 In 3.18